Material: MgSe2NCl
Method: DFT, SCAN
State: single point on PBEsol structure

Cell and atoms, written as POSCAR:
```
MgSe2NCl
1.0
-1.937 1.672 -2.964
-4.161 -0.133 2.645
1.029 4.458 1.843
Mg N Se Cl
1 1 2 1
Direct
0.500 0.500 0.500 Mg
0.500 0.000 0.000 N
0.000 0.000 0.500 Se
0.000 0.500 0.000 Se
0.000 0.000 0.000 Cl
```

* DFT total energy: -11.472 eV/atom
* spin magnetization: 0.328 μB per atom
* N(E_F): 1.6 states/eV per cell
* calculated volume: 19.051 A^3/atom
* ΔE_f (raw): 23.25 kcal/mol of atoms